[1]
ZrFe2Ir | PBE | optimized geometry

Summary:
**DOS at the Fermi energy**: 1.861 states/eV/cell
**Size of the total moment**: 4.99 Bohr magnetons per cell
**E**: -35.19 eV/cell

Geometry as POSCAR:
```
ZrFe2Ir
1.0
-2.190 2.221 0.404
-0.428 -0.959 2.958
3.871 2.935 4.847
Fe Zr Ir
2 1 1
Direct
0.500 0.267 0.233 Fe
0.000 0.973 0.027 Fe
0.500 0.743 0.757 Zr
0.000 0.517 0.482 Ir
```

[2]
Li2Al3Pd | PBE | optimized geometry

Summary:
**DOS at the Fermi energy**: 0.731 states/eV/cell
**Size of the total moment**: 0.00 Bohr magnetons per cell
**Polymorph energy (0 for the lowest one)**: 0.021 eV per atom

Geometry as POSCAR:
```
Li2Al3Pd
1.0
3.218 0.000 0.000
0.000 3.218 0.000
0.000 0.000 8.562
Li Al Pd
2 3 1
Direct
0.500 0.500 0.164 Li
0.500 0.500 0.836 Li
0.000 0.000 0.334 Al
0.000 0.000 0.000 Al
0.000 0.000 0.666 Al
0.500 0.500 0.500 Pd
```

[3]
Tb3AlTl3Te8 | PBE | optimized geometry

Summary:
**DOS at the Fermi energy**: 5.407 states/eV/cell
**Size of the total moment**: 0.00 Bohr magnetons per cell
**Raw formation energy**: -0.85 eV per atom

Geometry as POSCAR:
```
Tb3AlTl3Te8
1.0
8.743 -0.001 -0.002
-4.372 7.580 -0.029
-0.001 -5.020 8.195
Te Al Tb Tl
8 1 3 3
Direct
0.778 0.556 0.298 Te
0.222 0.980 0.702 Te
0.261 0.522 0.282 Te
0.778 0.020 0.298 Te
0.739 0.478 0.718 Te
0.222 0.444 0.702 Te
0.242 0.020 0.298 Te
0.758 0.980 0.702 Te
0.000 0.000 0.500 Al
0.000 0.500 0.500 Tb
0.500 0.500 0.500 Tb
0.500 0.000 0.500 Tb
0.500 0.500 0.000 Tl
0.000 0.500 0.000 Tl
0.000 0.000 0.000 Tl
```

[4]
Cs2KOsBr6 | PBE | optimized geometry

Summary:
**DOS at the Fermi energy**: 12.727 states/eV/cell
**Size of the total moment**: 1.00 Bohr magnetons per cell
**Raw formation energy**: -1.05 eV per atom

Geometry as POSCAR:
```
Cs2KOsBr6
1.0
-3.071 -6.223 4.080
-1.357 -3.872 -6.926
2.959 -7.402 -1.120
Br Os Cs K
6 1 2 1
Direct
0.222 0.222 0.555 Br
0.778 0.222 0.000 Br
0.778 0.778 0.000 Br
0.778 0.778 0.445 Br
0.222 0.778 0.000 Br
0.222 0.222 0.000 Br
0.000 0.000 0.000 Os
0.250 0.750 0.500 Cs
0.750 0.250 0.500 Cs
0.500 0.500 0.000 K
```

[5]
KMnIn2I | PBE | optimized geometry

Summary:
**DOS at the Fermi energy**: 6.319 states/eV/cell
**Size of the total moment**: 4.43 Bohr magnetons per cell
**Raw formation energy**: 0.85 eV per atom

Geometry as POSCAR:
```
KMnIn2I
1.0
-0.107 -5.262 -3.691
5.782 1.128 -1.774
2.194 -3.500 4.926
K I In Mn
1 1 2 1
Direct
0.000 0.000 0.000 K
0.000 0.500 0.000 I
0.500 0.000 0.000 In
0.000 0.000 0.500 In
0.500 0.500 0.500 Mn
```

[6]
BaTa2W | PBE | optimized geometry

Summary:
**DOS at the Fermi energy**: 4.918 states/eV/cell
**Size of the total moment**: 0.00 Bohr magnetons per cell
**Polymorph energy (0 for the lowest one)**: 0.664 eV per atom

Geometry as POSCAR:
```
BaTa2W
1.0
-3.438 -4.765 0.000
5.411 -0.579 -2.025
1.195 -1.459 2.219
Ta W Ba
2 1 1
Direct
0.500 0.000 0.500 Ta
0.000 0.000 0.000 Ta
0.000 0.500 0.500 W
0.500 0.500 0.000 Ba
```

Q: The highest size of the total moment belongs to which entry?
A: ZrFe2Ir